Crystalline MgZn2P2H24O20 at its relaxed geometry. Source: the Alexandria database, functional PBE.

abc: 7.0537 10.9347 11.8308
angles: 105.14 90.00 90.00
Closest atoms and distances in Å follow each position.
Sites, in units of the cell vectors:
Mg 0.0000 0.5000 0.5000  6 O 2.05-2.12
Mg 0.5000 0.5000 0.0000  6 O 2.05-2.12
Zn 0.8041 0.9297 0.6146  4 O 1.96-2.00
Zn 0.3041 0.0703 0.8854  4 O 1.96-2.00
Zn 0.1959 0.0703 0.3854  4 O 1.96-2.00
Zn 0.6959 0.9297 0.1146  4 O 1.96-2.00
P 0.6378 0.8618 0.8406  4 O 1.55-1.58
P 0.1378 0.1382 0.6594  4 O 1.55-1.58
P 0.3622 0.1382 0.1594  4 O 1.55-1.58
P 0.8622 0.8618 0.3406  4 O 1.55-1.58
H 0.5313 0.1084 0.6820  1 O 0.99
H 0.0313 0.8916 0.8180  1 O 0.99
H 0.4687 0.8916 0.3180  1 O 0.99
H 0.9687 0.1084 0.1820  1 O 0.99
H 0.7449 0.1616 0.6737  1 O 0.99
H 0.2449 0.8384 0.8263  1 O 0.99
H 0.2551 0.8384 0.3263  1 O 0.99
H 0.7551 0.1616 0.1737  1 O 0.99
H 0.9222 0.6951 0.6965  1 O 0.99
H 0.4222 0.3049 0.8035  1 O 0.99
H 0.0778 0.3049 0.3035  1 O 0.99
H 0.5778 0.6951 0.1965  1 O 0.99
H 0.0138 0.5743 0.7301  1 O 1.00
H 0.5138 0.4257 0.7699  1 O 1.00
H 0.9862 0.4257 0.2699  1 O 1.00
H 0.4862 0.5743 0.2301  1 O 1.00
H 0.1161 0.6718 0.3845  1 O 0.99
H 0.6161 0.3282 0.1155  1 O 0.99
H 0.8839 0.3282 0.6155  1 O 0.99
H 0.3839 0.6718 0.8845  1 O 0.99
H 0.2459 0.6968 0.4991  1 O 1.03
H 0.7459 0.3032 0.0009  1 O 1.03
H 0.7541 0.3032 0.5009  1 O 1.03
H 0.2541 0.6968 0.9991  1 O 1.03
H 0.3466 0.4552 0.5870  1 O 1.00
H 0.8466 0.5448 0.9130  1 O 1.00
H 0.6534 0.5448 0.4130  1 O 1.00
H 0.1534 0.4552 0.0870  1 O 1.00
H 0.2400 0.3221 0.5442  1 O 1.00
H 0.7400 0.6779 0.9558  1 O 1.00
H 0.7600 0.6779 0.4558  1 O 1.00
H 0.2600 0.3221 0.0442  1 O 1.00
H 0.2573 0.8807 0.6044  1 O 0.99
H 0.7573 0.1193 0.8956  1 O 0.99
H 0.7427 0.1193 0.3956  1 O 0.99
H 0.2427 0.8807 0.1044  1 O 0.99
H 0.3870 0.7912 0.6589  1 O 0.99
H 0.8870 0.2088 0.8411  1 O 0.99
H 0.6130 0.2088 0.3411  1 O 0.99
H 0.1130 0.7912 0.1589  1 O 0.99
H 0.6491 0.4819 0.6322  1 O 1.00
H 0.1491 0.5181 0.8678  1 O 1.00
H 0.3509 0.5181 0.3678  1 O 1.00
H 0.8509 0.4819 0.1322  1 O 1.00
H 0.5337 0.6064 0.7074  1 O 0.99
H 0.0337 0.3936 0.7926  1 O 0.99
H 0.4663 0.3936 0.2926  1 O 0.99
H 0.9663 0.6064 0.2074  1 O 0.99
O 0.8018 0.8464 0.7467  1 P 1.58
O 0.3018 0.1536 0.7533  1 P 1.58
O 0.1982 0.1536 0.2533  1 P 1.58
O 0.6982 0.8464 0.2467  1 P 1.58
O 0.6555 0.0909 0.6415  2 H 0.99
O 0.1555 0.9091 0.8585  2 H 0.99
O 0.3445 0.9091 0.3585  2 H 0.99
O 0.8445 0.0909 0.1415  2 H 0.99
O 0.0677 0.9993 0.6311  1 P 1.55
O 0.5677 0.0007 0.8689  1 P 1.55
O 0.9323 0.0007 0.3689  1 P 1.55
O 0.4323 0.9993 0.1311  1 P 1.55
O 0.7770 0.8310 0.4515  1 P 1.56, 1 H 1.69
O 0.2770 0.1690 0.0485  1 P 1.56, 1 H 1.69
O 0.2230 0.1690 0.5485  1 P 1.56, 1 H 1.69
O 0.7230 0.8310 0.9515  1 P 1.56, 1 H 1.69
O 0.4759 0.7661 0.7908  1 P 1.56
O 0.9759 0.2339 0.7092  1 P 1.56
O 0.5241 0.2339 0.2092  1 P 1.56
O 0.0241 0.7661 0.2908  1 P 1.56
O 0.0078 0.6219 0.6685  2 H 0.99-1.00
O 0.5078 0.3781 0.8315  2 H 0.99-1.00
O 0.9922 0.3781 0.3315  2 H 0.99-1.00
O 0.4922 0.6219 0.1685  2 H 0.99-1.00
O 0.1750 0.6272 0.4388  2 H 0.99-1.03
O 0.6750 0.3728 0.0612  2 H 0.99-1.03
O 0.8250 0.3728 0.5612  2 H 0.99-1.03
O 0.3250 0.6272 0.9388  2 H 0.99-1.03
O 0.2391 0.4112 0.5381  2 H 1.00
O 0.7391 0.5888 0.9619  2 H 1.00
O 0.7609 0.5888 0.4619  2 H 1.00
O 0.2609 0.4112 0.0381  2 H 1.00
O 0.3508 0.8108 0.5846  2 H 0.99
O 0.8508 0.1892 0.9154  2 H 0.99
O 0.6492 0.1892 0.4154  2 H 0.99
O 0.1492 0.8108 0.0846  2 H 0.99
O 0.5293 0.5132 0.6742  2 H 0.99-1.00
O 0.0293 0.4868 0.8258  2 H 0.99-1.00
O 0.4707 0.4868 0.3258  2 H 0.99-1.00
O 0.9707 0.5132 0.1742  2 H 0.99-1.00

E	-5.32	eV per atom

Crystalline Ac3La2Tb4 at its relaxed geometry. Source: the Alexandria database, functional PBE.

abc: 6.4439 6.4437 11.2152
angles: 105.97 105.97 49.04
Closest atoms and distances in Å follow each position.
Sites, in units of the cell vectors:
Ac 0.3316 0.3316 0.4381  6 Tb 3.68-3.83, 3 La 3.77-3.85, 3 Ac 3.77-3.79
Ac 0.0000 0.0000 0.0000  8 Tb 3.73-3.74, 4 La 3.74
Ac 0.6684 0.6684 0.5619  6 Tb 3.68-3.83, 3 La 3.77-3.85, 3 Ac 3.77-3.79
La 0.3354 0.3354 0.7830  7 Tb 3.68-3.75, 5 Ac 3.74-3.85
La 0.6646 0.6646 0.2170  7 Tb 3.68-3.75, 5 Ac 3.74-3.85
Tb 0.6657 0.6657 0.8896  4 La 3.68-3.74, 4 Ac 3.68-3.74, 4 Tb 3.76-3.77
Tb 0.9991 0.9991 0.3321  6 Ac 3.72-3.83, 3 La 3.74-3.75, 3 Tb 3.76
Tb 0.0009 0.0009 0.6679  6 Ac 3.72-3.83, 3 La 3.74-3.75, 3 Tb 3.76
Tb 0.3343 0.3343 0.1104  4 La 3.68-3.74, 4 Ac 3.68-3.74, 4 Tb 3.76-3.77

energy relative to the elements	48.0	meV per atom